Record 1
# CsBa3Tc (PBE-GGA, relaxed)
# N(E_F), states/eV/atom: 1.767
# ΔH_f (0 K), eV per atom: 1.582
# Excess energy over the best structure of this formula in the dataset, meV per atom: 1058
# Total moment, μB/atom: 0.53
data_CsBa3Tc
_chemical_formula_sum 'Cs1 Ba3 Tc1'
_space_group_name_H-M_alt 'P 1'
_space_group_IT_number 1
_cell_length_a 6.425
_cell_length_b 6.425
_cell_length_c 6.425
_cell_angle_alpha 90.00
_cell_angle_beta 90.00
_cell_angle_gamma 90.00
loop_
_space_group_symop_operation_xyz
'x,y,z'
loop_
_atom_site_label
_atom_site_type_symbol
_atom_site_fract_x
_atom_site_fract_y
_atom_site_fract_z
Cs1 Cs 0.000 0.000 0.000
Ba1 Ba 0.000 0.000 0.500
Ba2 Ba 0.000 0.500 0.000
Ba3 Ba 0.500 0.000 0.000
Tc1 Tc 0.500 0.500 0.500

Record 2
# AcCuGePd (PBE-GGA, relaxed)
# N(E_F), states/eV/atom: 0.796
# ΔH_f (0 K), eV per atom: -0.316
# Total moment, μB/atom: 0.00
data_AcCuGePd
_chemical_formula_sum 'Ac1 Cu1 Ge1 Pd1'
_space_group_name_H-M_alt 'P 1'
_space_group_IT_number 1
_cell_length_a 4.937
_cell_length_b 4.937
_cell_length_c 4.937
_cell_angle_alpha 60.00
_cell_angle_beta 60.00
_cell_angle_gamma 60.00
loop_
_space_group_symop_operation_xyz
'x,y,z'
loop_
_atom_site_label
_atom_site_type_symbol
_atom_site_fract_x
_atom_site_fract_y
_atom_site_fract_z
Ac1 Ac 0.000 0.000 0.000
Cu1 Cu 0.750 0.750 0.750
Ge1 Ge 0.500 0.500 0.500
Pd1 Pd 0.250 0.250 0.250

Record 3
# TaMnTe2Mo (PBE-GGA, relaxed)
# N(E_F), states/eV/atom: 0.830
# Uncorrected formation energy, eV per atom: 1.204
# Total moment, μB/atom: 0.73
data_TaMnTe2Mo
_chemical_formula_sum 'Ta1 Mn1 Te2 Mo1'
_space_group_name_H-M_alt 'P 1'
_space_group_IT_number 1
_cell_length_a 5.259
_cell_length_b 5.259
_cell_length_c 4.913
_cell_angle_alpha 90.00
_cell_angle_beta 90.00
_cell_angle_gamma 90.00
loop_
_space_group_symop_operation_xyz
'x,y,z'
loop_
_atom_site_label
_atom_site_type_symbol
_atom_site_fract_x
_atom_site_fract_y
_atom_site_fract_z
Ta1 Ta 0.000 0.000 0.000
Mn1 Mn 0.500 0.500 0.000
Te1 Te 0.000 0.500 0.500
Te2 Te 0.500 0.000 0.500
Mo1 Mo 0.000 0.000 0.500

Record 4
# BiTePt (PBE-GGA, relaxed)
# N(E_F), states/eV/atom: 0.579
# Excess energy over the best structure of this formula in the dataset, meV per atom: 7
# Uncorrected formation energy, eV per atom: -0.342
# Total moment, μB/atom: 0.00
data_BiTePt
_chemical_formula_sum 'Bi2 Te2 Pt2'
_space_group_name_H-M_alt 'P 1'
_space_group_IT_number 1
_cell_length_a 4.284
_cell_length_b 5.616
_cell_length_c 6.720
_cell_angle_alpha 90.00
_cell_angle_beta 90.00
_cell_angle_gamma 90.00
loop_
_space_group_symop_operation_xyz
'x,y,z'
loop_
_atom_site_label
_atom_site_type_symbol
_atom_site_fract_x
_atom_site_fract_y
_atom_site_fract_z
Bi1 Bi 0.000 0.026 0.000
Bi2 Bi 0.500 0.974 0.500
Te1 Te 0.000 0.470 0.736
Te2 Te 0.500 0.530 0.236
Pt1 Pt 0.000 0.260 0.370
Pt2 Pt 0.500 0.740 0.870

Record 5
# CsBe2AsH2 (PBE-GGA, relaxed)
# N(E_F), states/eV/atom: 0.000
# Energy, eV for the cell shown: -43.42
# Total moment, μB/atom: 0.00
data_CsBe2AsH2
_chemical_formula_sum 'Cs2 Be4 As2 H4'
_space_group_name_H-M_alt 'P 1'
_space_group_IT_number 1
_cell_length_a 7.784
_cell_length_b 7.784
_cell_length_c 4.419
_cell_angle_alpha 90.00
_cell_angle_beta 90.00
_cell_angle_gamma 122.37
loop_
_space_group_symop_operation_xyz
'x,y,z'
loop_
_atom_site_label
_atom_site_type_symbol
_atom_site_fract_x
_atom_site_fract_y
_atom_site_fract_z
Cs1 Cs 0.171 0.829 0.750
Cs2 Cs 0.829 0.171 0.250
Be1 Be 0.344 0.344 0.000
Be2 Be 0.344 0.344 0.500
Be3 Be 0.656 0.656 0.000
Be4 Be 0.656 0.656 0.500
As1 As 0.382 0.618 0.250
As2 As 0.618 0.382 0.750
H1 H 0.185 0.265 0.750
H2 H 0.265 0.185 0.250
H3 H 0.735 0.815 0.750
H4 H 0.815 0.735 0.250

Record 6
# Dy2ZrSc (PBE-GGA, relaxed)
# N(E_F), states/eV/atom: 1.611
# ΔH_f (0 K), eV per atom: 0.083
# Excess energy over the best structure of this formula in the dataset, meV per atom: 1
# Total moment, μB/atom: 0.00
data_Dy2ZrSc
_chemical_formula_sum 'Dy2 Zr1 Sc1'
_space_group_name_H-M_alt 'P 1'
_space_group_IT_number 1
_cell_length_a 11.037
_cell_length_b 11.037
_cell_length_c 11.037
_cell_angle_alpha 17.77
_cell_angle_beta 17.77
_cell_angle_gamma 17.77
loop_
_space_group_symop_operation_xyz
'x,y,z'
loop_
_atom_site_label
_atom_site_type_symbol
_atom_site_fract_x
_atom_site_fract_y
_atom_site_fract_z
Dy1 Dy 0.000 0.000 0.000
Dy2 Dy 0.163 0.163 0.163
Zr1 Zr 0.415 0.415 0.415
Sc1 Sc 0.582 0.582 0.582

Record 7
# Ce2Si5Os3 (PBE-GGA, relaxed)
# N(E_F), states/eV/atom: 0.698
# Uncorrected formation energy, eV per atom: -0.715
# Total moment, μB/atom: 0.00
data_Ce2Si5Os3
_chemical_formula_sum 'Ce4 Si10 Os6'
_space_group_name_H-M_alt 'P 1'
_space_group_IT_number 1
_cell_length_a 8.281
_cell_length_b 8.281
_cell_length_c 8.281
_cell_angle_alpha 107.16
_cell_angle_beta 86.92
_cell_angle_gamma 139.34
loop_
_space_group_symop_operation_xyz
'x,y,z'
loop_
_atom_site_label
_atom_site_type_symbol
_atom_site_fract_x
_atom_site_fract_y
_atom_site_fract_z
Ce1 Ce 0.134 0.231 0.365
Ce2 Ce 0.366 0.731 0.097
Ce3 Ce 0.634 0.269 0.903
Ce4 Ce 0.866 0.769 0.635
Si1 Si 0.037 0.750 0.287
Si2 Si 0.099 0.661 0.760
Si3 Si 0.250 0.250 0.000
Si4 Si 0.401 0.161 0.562
Si5 Si 0.463 0.750 0.713
Si6 Si 0.537 0.250 0.287
Si7 Si 0.599 0.839 0.438
Si8 Si 0.750 0.750 0.000
Si9 Si 0.901 0.339 0.240
Si10 Si 0.963 0.250 0.713
Os1 Os 0.145 0.897 0.042
Os2 Os 0.250 0.750 0.500
Os3 Os 0.355 0.397 0.751
Os4 Os 0.645 0.603 0.249
Os5 Os 0.750 0.250 0.500
Os6 Os 0.855 0.103 0.958

Record 8
# CdFe2HRh (PBE-GGA, relaxed)
# N(E_F), states/eV/atom: 0.553
# Energy, eV for the cell shown: -28.20
# Total moment, μB/atom: 1.16
data_CdFe2HRh
_chemical_formula_sum 'Cd1 Fe2 H1 Rh1'
_space_group_name_H-M_alt 'P 1'
_space_group_IT_number 1
_cell_length_a 3.914
_cell_length_b 3.914
_cell_length_c 3.925
_cell_angle_alpha 90.00
_cell_angle_beta 90.00
_cell_angle_gamma 90.00
loop_
_space_group_symop_operation_xyz
'x,y,z'
loop_
_atom_site_label
_atom_site_type_symbol
_atom_site_fract_x
_atom_site_fract_y
_atom_site_fract_z
Cd1 Cd 0.000 0.000 0.000
Fe1 Fe 0.000 0.500 0.500
Fe2 Fe 0.500 0.000 0.500
H1 H 0.500 0.500 0.500
Rh1 Rh 0.500 0.500 0.000

Record 9
# SmHo2Sb (PBE-GGA, relaxed)
# N(E_F), states/eV/atom: 1.079
# Excess energy over the best structure of this formula in the dataset, meV per atom: 100
# Uncorrected formation energy, eV per atom: -0.485
# Total moment, μB/atom: 0.00
data_SmHo2Sb
_chemical_formula_sum 'Sm1 Ho2 Sb1'
_space_group_name_H-M_alt 'P 1'
_space_group_IT_number 1
_cell_length_a 4.815
_cell_length_b 4.815
_cell_length_c 4.772
_cell_angle_alpha 90.00
_cell_angle_beta 90.00
_cell_angle_gamma 90.00
loop_
_space_group_symop_operation_xyz
'x,y,z'
loop_
_atom_site_label
_atom_site_type_symbol
_atom_site_fract_x
_atom_site_fract_y
_atom_site_fract_z
Sm1 Sm 0.000 0.000 0.000
Ho1 Ho 0.000 0.500 0.500
Ho2 Ho 0.500 0.000 0.500
Sb1 Sb 0.500 0.500 0.000

Record 10
# CoSb2 (PBE-GGA, relaxed)
# N(E_F), states/eV/atom: 1.003
# Uncorrected formation energy, eV per atom: 0.111
# Total moment, μB/atom: 0.02
data_CoSb2
_chemical_formula_sum 'Co2 Sb4'
_space_group_name_H-M_alt 'P 1'
_space_group_IT_number 1
_cell_length_a 5.358
_cell_length_b 5.358
_cell_length_c 5.358
_cell_angle_alpha 106.65
_cell_angle_beta 106.65
_cell_angle_gamma 115.27
loop_
_space_group_symop_operation_xyz
'x,y,z'
loop_
_atom_site_label
_atom_site_type_symbol
_atom_site_fract_x
_atom_site_fract_y
_atom_site_fract_z
Co1 Co 0.250 0.250 0.000
Co2 Co 0.750 0.750 0.000
Sb1 Sb 0.168 0.668 0.837
Sb2 Sb 0.332 0.168 0.500
Sb3 Sb 0.668 0.832 0.500
Sb4 Sb 0.832 0.332 0.163

Record 11
# Ac7Hg2Pt2 (PBE-GGA, relaxed)
# N(E_F), states/eV/atom: 1.060
# ΔH_f (0 K), eV per atom: -0.584
# Excess energy over the best structure of this formula in the dataset, meV per atom: 0
# Total moment, μB/atom: 0.00
data_Ac7Hg2Pt2
_chemical_formula_sum 'Ac7 Hg2 Pt2'
_space_group_name_H-M_alt 'P 1'
_space_group_IT_number 1
_cell_length_a 10.486
_cell_length_b 10.486
_cell_length_c 10.486
_cell_angle_alpha 156.56
_cell_angle_beta 65.48
_cell_angle_gamma 119.84
loop_
_space_group_symop_operation_xyz
'x,y,z'
loop_
_atom_site_label
_atom_site_type_symbol
_atom_site_fract_x
_atom_site_fract_y
_atom_site_fract_z
Ac1 Ac 0.000 0.000 0.000
Ac2 Ac 0.264 0.367 0.896
Ac3 Ac 0.264 0.580 0.684
Ac4 Ac 0.471 0.367 0.104
Ac5 Ac 0.595 0.208 0.387
Ac6 Ac 0.821 0.208 0.613
Ac7 Ac 0.896 0.580 0.316
Hg1 Hg 0.103 0.864 0.239
Hg2 Hg 0.625 0.864 0.761
Pt1 Pt 0.214 0.714 0.500
Pt2 Pt 0.622 0.622 0.000

Record 12
# SrCeNi2 (PBE-GGA, relaxed)
# N(E_F), states/eV/atom: 1.151
# ΔH_f (0 K), eV per atom: -0.162
# Excess energy over the best structure of this formula in the dataset, meV per atom: 0
# Total moment, μB/atom: 0.00
data_SrCeNi2
_chemical_formula_sum 'Sr1 Ce1 Ni2'
_space_group_name_H-M_alt 'P 1'
_space_group_IT_number 1
_cell_length_a 3.503
_cell_length_b 3.503
_cell_length_c 7.202
_cell_angle_alpha 90.00
_cell_angle_beta 90.00
_cell_angle_gamma 90.00
loop_
_space_group_symop_operation_xyz
'x,y,z'
loop_
_atom_site_label
_atom_site_type_symbol
_atom_site_fract_x
_atom_site_fract_y
_atom_site_fract_z
Sr1 Sr 0.000 0.000 0.000
Ce1 Ce 0.000 0.000 0.500
Ni1 Ni 0.500 0.500 0.315
Ni2 Ni 0.500 0.500 0.685

Repeat the fourth record exactly.
# BiTePt (PBE-GGA, relaxed)
# N(E_F), states/eV/atom: 0.579
# Excess energy over the best structure of this formula in the dataset, meV per atom: 7
# Uncorrected formation energy, eV per atom: -0.342
# Total moment, μB/atom: 0.00
data_BiTePt
_chemical_formula_sum 'Bi2 Te2 Pt2'
_space_group_name_H-M_alt 'P 1'
_space_group_IT_number 1
_cell_length_a 4.284
_cell_length_b 5.616
_cell_length_c 6.720
_cell_angle_alpha 90.00
_cell_angle_beta 90.00
_cell_angle_gamma 90.00
loop_
_space_group_symop_operation_xyz
'x,y,z'
loop_
_atom_site_label
_atom_site_type_symbol
_atom_site_fract_x
_atom_site_fract_y
_atom_site_fract_z
Bi1 Bi 0.000 0.026 0.000
Bi2 Bi 0.500 0.974 0.500
Te1 Te 0.000 0.470 0.736
Te2 Te 0.500 0.530 0.236
Pt1 Pt 0.000 0.260 0.370
Pt2 Pt 0.500 0.740 0.870

Q: Look up the N(E_F) of the seventh one.
A: 0.698 states/eV/atom

Q: What is the formula in the first record?
A: CsBa3Tc